An optimized crystal structure of Er3WO7, computed with GGA+U.

Summary:
crystal system	orthorhombic
N(E_F)	0.00	states/eV/cell
symmetry	C222_1, No. 20
VASP energy	-181.2	eV/cell
magnetic moment	0.091	μB per atom

Unit cell a=6.4335 b=6.4335 c=7.4207 alpha=90.00 beta=90.00 gamma=108.97
Positions (direct):
Er  0.0230  0.0230  0.0000
Er  0.0332  0.5018  0.2541
Er  0.4982  0.9668  0.2459
Er  0.5018  0.0332  0.7459
Er  0.9668  0.4982  0.7541
Er  0.9770  0.9770  0.5000
W  0.5004  0.5004  0.0000
W  0.4996  0.4996  0.5000
O  0.1314  0.8686  0.7500
O  0.1369  0.8631  0.2500
O  0.1717  0.4165  0.9730
O  0.1816  0.4353  0.5347
O  0.4165  0.1717  0.0270
O  0.4225  0.5775  0.2500
O  0.4353  0.1816  0.4653
O  0.5647  0.8184  0.9653
O  0.5775  0.4225  0.7500
O  0.5835  0.8283  0.5270
O  0.8184  0.5647  0.0347
O  0.8283  0.5835  0.4730
O  0.8631  0.1369  0.7500
O  0.8686  0.1314  0.2500